First-principles (PBE-GGA) data for crystalline DyErThSc at its relaxed geometry, as listed in Alexandria via LeMat-Bulk.

Output
Size of the total moment = 0.12 μB/f.u.
Energy relative to the lowest polymorph listed for this composition = 0 meV/atom
N(E_F) = 1.67 states/eV per atom
Energy of formation from the pure elements = 0.0237 eV per atom

Structure (CIF):
```
data_DyErThSc
_chemical_formula_sum 'Dy3 Er3 Th3 Sc3'
_cell_length_a 3.5247
_cell_length_b 3.5247
_cell_length_c 33.1646
_cell_angle_alpha 90.00
_cell_angle_beta 90.00
_cell_angle_gamma 120.00
_space_group_name_H-M_alt 'R 3 m'
_space_group_IT_number 160
_space_group_name_Hall 'R 3 -2"'
loop_
_atom_site_label
_atom_site_type_symbol
_atom_site_fract_x
_atom_site_fract_y
_atom_site_fract_z
Dy1 Dy 0.0000 0.0000 0.0000
Er1 Er 0.0000 0.0000 0.7534
Th1 Th 0.0000 0.0000 0.1711
Sc1 Sc 0.0000 0.0000 0.5847
```